Entry 1:
DFT (GGA-PBEsol) results for a geometry-optimized Cu9P4H2O20 structure.

a b c (Å): 5.894 8.099 8.808
angles (deg): 112.98 102.36 94.69
Each line ends with the local moment (μB).
Sites, in units of the cell vectors:
O 0.163 0.239 0.169  0.03
Cu 0.983 0.679 0.645  0.50
O 0.837 0.761 0.831  0.03
O 0.274 0.912 0.073  -0.04
O 0.632 0.327 0.709  0.07
O 0.917 0.402 0.564  0.07
O 0.776 0.828 0.565  0.10
O 0.224 0.172 0.435  0.10
Cu 0.431 0.182 0.292  -0.36
O 0.341 0.907 0.583  -0.03
O 0.154 0.565 0.942  0.07
Cu 0.687 0.784 0.320  0.51
O 0.410 0.279 0.938  0.08
Cu 0.182 0.402 0.061  0.45
H 0.129 0.040 0.379  0.00
Cu 0.818 0.598 0.939  0.45
O 0.659 0.093 0.417  -0.03
P 0.204 0.754 0.405  0.00
Cu 0.017 0.321 0.355  0.50
P 0.796 0.246 0.595  0.00
O 0.846 0.435 0.058  0.07
O 0.368 0.673 0.291  0.07
H 0.871 0.960 0.621  0.00
O 0.015 0.836 0.318  0.04
P 0.660 0.271 0.032  0.00
O 0.590 0.721 0.062  0.08
P 0.340 0.729 0.968  0.00
Cu 0.569 0.818 0.708  -0.36
O 0.335 0.712 0.785  0.00
O 0.726 0.088 0.927  -0.04
O 0.083 0.598 0.436  0.07
O 0.665 0.288 0.215  0.00
O 0.985 0.164 0.682  0.04
Cu 0.313 0.216 0.680  0.51
Cu 0.000 0.000 0.000  -0.37

Properties
DFT total energy: -6.2355 eV per atom

---

Entry 2:
DFT (GGA-PBEsol) results for a geometry-optimized Rb2CuH12S2O14 structure.

a b c (Å): 6.173 9.163 12.193
angles (deg): 90.00 90.00 104.64
Each line ends with the local moment (μB).
Sites, in units of the cell vectors:
S 0.724 0.386 0.862  0.00
O 0.594 0.756 0.571  0.00
O 0.946 0.360 0.833  0.00
O 0.406 0.744 0.071  0.00
O 0.024 0.797 0.880  0.00
O 0.712 0.000 0.936  0.07
O 0.712 0.500 0.564  0.07
H 0.988 0.823 0.804  0.00
H 0.329 0.901 0.060  0.00
S 0.276 0.614 0.138  0.00
H 0.683 0.305 0.411  0.00
H 0.689 0.464 0.642  0.00
H 0.078 0.730 0.624  0.00
H 0.916 0.199 0.602  0.00
S 0.276 0.114 0.362  0.00
Rb 0.346 0.118 0.652  0.00
O 0.754 0.025 0.571  0.00
Rb 0.654 0.882 0.348  0.00
O 0.288 0.000 0.064  0.07
H 0.916 0.699 0.898  0.00
H 0.922 0.270 0.376  0.00
H 0.317 0.195 0.911  0.00
O 0.946 0.860 0.667  0.00
O 0.246 0.975 0.429  0.00
Rb 0.346 0.618 0.848  0.00
H 0.689 0.964 0.858  0.00
Rb 0.654 0.382 0.152  0.00
H 0.311 0.036 0.142  0.00
H 0.317 0.695 0.589  0.00
O 0.595 0.897 0.739  0.00
H 0.012 0.677 0.304  0.00
H 0.671 0.599 0.560  0.00
O 0.157 0.148 0.888  0.07
O 0.595 0.397 0.761  0.00
H 0.084 0.801 0.398  0.00
H 0.988 0.323 0.696  0.00
O 0.157 0.648 0.612  0.07
O 0.054 0.140 0.333  0.00
H 0.329 0.401 0.440  0.00
O 0.976 0.203 0.120  0.00
O 0.976 0.703 0.380  0.00
O 0.288 0.500 0.436  0.07
O 0.406 0.244 0.429  0.00
H 0.683 0.805 0.089  0.00
O 0.594 0.256 0.929  0.00
O 0.843 0.352 0.388  0.07
Cu 0.000 0.000 0.000  0.68
S 0.724 0.886 0.638  0.00
O 0.054 0.640 0.167  0.00
H 0.084 0.301 0.102  0.00
Cu 0.000 0.500 0.500  0.68
O 0.843 0.852 0.112  0.07
H 0.078 0.230 0.876  0.00
H 0.012 0.177 0.196  0.00
O 0.405 0.103 0.261  0.00
O 0.754 0.525 0.929  0.00
O 0.246 0.475 0.071  0.00
H 0.922 0.770 0.124  0.00
H 0.671 0.099 0.940  0.00
O 0.024 0.297 0.620  0.00
O 0.405 0.603 0.239  0.00
H 0.311 0.536 0.358  0.00

Properties
DFT total energy: -5.4143 eV per atom

---

Entry 3:
DFT (GGA-PBEsol) results for a geometry-optimized Rb2CuH12Se2O14 structure.

a b c (Å): 6.298 9.338 12.387
angles (deg): 90.00 90.00 104.04
Each line ends with the local moment (μB).
Sites, in units of the cell vectors:
H 0.082 0.226 0.876  0.00
O 0.033 0.642 0.172  0.00
O 0.156 0.644 0.611  0.07
O 0.967 0.858 0.672  0.00
Se 0.276 0.613 0.138  0.00
H 0.003 0.675 0.309  0.00
O 0.972 0.201 0.116  0.00
O 0.156 0.144 0.889  0.07
O 0.972 0.701 0.384  0.00
Cu 0.000 0.000 0.000  0.68
O 0.028 0.299 0.616  0.00
O 0.033 0.142 0.328  0.00
H 0.081 0.295 0.099  0.00
Rb 0.342 0.620 0.845  0.00
H 0.003 0.175 0.191  0.00
H 0.919 0.705 0.901  0.00
O 0.583 0.246 0.936  0.00
O 0.580 0.399 0.752  0.00
O 0.967 0.358 0.828  0.00
H 0.327 0.903 0.056  0.00
H 0.919 0.205 0.599  0.00
H 0.689 0.313 0.413  0.00
H 0.673 0.097 0.944  0.00
O 0.246 0.461 0.064  0.00
Se 0.724 0.387 0.862  0.00
O 0.754 0.039 0.564  0.00
H 0.313 0.536 0.363  0.00
H 0.997 0.325 0.691  0.00
Rb 0.658 0.380 0.155  0.00
H 0.918 0.274 0.376  0.00
H 0.327 0.403 0.444  0.00
O 0.028 0.799 0.884  0.00
O 0.246 0.961 0.436  0.00
H 0.687 0.464 0.637  0.00
O 0.844 0.356 0.389  0.07
O 0.717 0.501 0.561  0.07
O 0.283 0.999 0.061  0.07
H 0.313 0.036 0.137  0.00
O 0.420 0.101 0.252  0.00
O 0.417 0.754 0.064  0.00
O 0.417 0.254 0.436  0.00
Se 0.276 0.113 0.362  0.00
O 0.420 0.601 0.248  0.00
Se 0.724 0.887 0.638  0.00
H 0.673 0.597 0.556  0.00
H 0.689 0.813 0.087  0.00
H 0.311 0.687 0.587  0.00
H 0.081 0.795 0.401  0.00
H 0.311 0.187 0.913  0.00
Rb 0.342 0.120 0.655  0.00
O 0.283 0.499 0.439  0.07
O 0.717 0.001 0.939  0.07
O 0.583 0.746 0.564  0.00
H 0.687 0.964 0.863  0.00
H 0.997 0.825 0.809  0.00
O 0.754 0.539 0.936  0.00
Rb 0.658 0.880 0.345  0.00
O 0.844 0.856 0.111  0.07
H 0.082 0.726 0.624  0.00
Cu 0.000 0.500 0.500  0.68
H 0.918 0.774 0.124  0.00
O 0.580 0.899 0.748  0.00

Properties
DFT total energy: -5.1606 eV per atom

---

Entry 4:
DFT (GGA-PBEsol) results for a geometry-optimized Tb2CuH4S2O12 structure.

a b c (Å): 6.227 6.618 10.652
angles (deg): 90.00 97.72 90.00
Each line ends with the local moment (μB).
Sites, in units of the cell vectors:
Tb 0.925 0.008 0.182  0.01
O 0.876 0.842 0.628  0.09
O 0.751 0.194 0.756  0.00
O 0.196 0.941 0.039  0.00
O 0.108 0.182 0.637  0.08
O 0.892 0.818 0.363  0.08
O 0.551 0.534 0.662  0.00
O 0.124 0.342 0.872  0.09
S 0.364 0.668 0.629  0.00
O 0.551 0.966 0.162  0.00
O 0.108 0.318 0.137  0.08
O 0.804 0.059 0.961  0.00
Tb 0.075 0.992 0.818  0.01
O 0.424 0.860 0.577  0.00
O 0.804 0.441 0.461  0.00
Cu 0.000 0.000 0.500  0.61
H 0.281 0.123 0.387  0.00
H 0.256 0.287 0.122  0.00
O 0.892 0.682 0.863  0.08
H 0.744 0.787 0.378  0.00
S 0.364 0.832 0.129  0.00
O 0.576 0.140 0.423  0.00
O 0.249 0.694 0.744  0.00
O 0.124 0.158 0.372  0.09
O 0.449 0.466 0.338  0.00
O 0.249 0.806 0.244  0.00
Tb 0.075 0.508 0.318  0.01
H 0.281 0.377 0.887  0.00
O 0.751 0.306 0.256  0.00
O 0.424 0.640 0.077  0.00
Cu 0.000 0.500 0.000  0.61
O 0.876 0.658 0.128  0.09
S 0.636 0.332 0.371  0.00
O 0.449 0.034 0.838  0.00
S 0.636 0.168 0.871  0.00
O 0.576 0.360 0.923  0.00
H 0.256 0.213 0.622  0.00
Tb 0.925 0.492 0.682  0.01
H 0.719 0.623 0.113  0.00
H 0.744 0.713 0.878  0.00
O 0.196 0.559 0.539  0.00
H 0.719 0.877 0.613  0.00

Properties
DFT total energy: -6.5766 eV per atom

---

Entry 5:
DFT (GGA-PBEsol) results for a geometry-optimized Zn3Cu2H14S2O18 structure.

a b c (Å): 5.360 6.317 10.553
angles (deg): 97.40 86.49 89.70
Each line ends with the local moment (μB).
Sites, in units of the cell vectors:
H 0.340 0.498 0.321  0.00
O 0.328 0.985 0.412  0.08
O 0.672 0.015 0.588  0.08
O 0.328 0.482 0.413  0.08
O 0.307 0.779 0.985  0.00
Cu 0.000 0.500 0.500  0.64
O 0.672 0.518 0.587  0.08
Zn 0.000 0.000 0.000  0.00
S 0.761 0.718 0.219  0.00
Zn 0.513 0.247 0.486  0.00
H 0.360 0.746 0.071  0.00
O 0.121 0.770 0.591  0.16
H 0.660 0.502 0.679  0.00
H 0.760 0.357 0.061  0.00
H 0.852 0.645 0.874  0.00
O 0.853 0.922 0.180  0.00
H 0.335 0.934 0.320  0.00
O 0.903 0.536 0.145  0.00
O 0.879 0.230 0.409  0.16
H 0.148 0.355 0.126  0.00
H 0.599 0.788 0.920  0.00
O 0.780 0.792 0.888  0.00
H 0.240 0.643 0.939  0.00
O 0.795 0.720 0.359  0.00
H 0.640 0.254 0.929  0.00
O 0.693 0.221 0.015  0.00
O 0.147 0.078 0.820  0.00
H 0.925 0.190 0.317  0.00
O 0.097 0.464 0.855  0.00
S 0.239 0.282 0.781  0.00
O 0.489 0.692 0.198  0.00
H 0.075 0.810 0.683  0.00
O 0.220 0.208 0.112  0.00
H 0.665 0.066 0.680  0.00
O 0.511 0.308 0.802  0.00
Cu 0.000 0.000 0.500  0.64
Zn 0.487 0.753 0.514  0.00
H 0.401 0.212 0.080  0.00
O 0.205 0.280 0.641  0.00

Properties
DFT total energy: -5.3230 eV per atom

---

Entry 6:
DFT (GGA-PBEsol) results for a geometry-optimized CuH6Se2O8 structure.

a b c (Å): 6.067 6.146 9.011
angles (deg): 90.73 90.00 90.00
Each line ends with the local moment (μB).
Sites, in units of the cell vectors:
O 0.729 0.793 0.569  0.09
O 0.187 0.712 0.523  0.00
Se 0.727 0.761 0.758  0.00
Se 0.773 0.761 0.258  0.00
O 0.036 0.100 0.200  0.07
O 0.313 0.712 0.023  0.00
O 0.830 0.488 0.752  0.01
H 0.737 0.407 0.345  0.00
Cu 0.000 0.000 0.000  0.62
H 0.469 0.762 0.035  0.00
H 0.263 0.593 0.655  0.00
H 0.304 0.635 0.924  0.00
H 0.196 0.635 0.424  0.00
H 0.763 0.407 0.845  0.00
H 0.031 0.762 0.535  0.00
O 0.536 0.900 0.300  0.07
H 0.531 0.238 0.965  0.00
Se 0.273 0.239 0.242  0.00
H 0.237 0.593 0.155  0.00
O 0.330 0.512 0.748  0.01
O 0.464 0.100 0.700  0.07
H 0.804 0.365 0.576  0.00
O 0.687 0.288 0.977  0.00
Cu 0.500 0.000 0.500  0.62
H 0.696 0.365 0.076  0.00
O 0.670 0.488 0.252  0.01
O 0.964 0.900 0.800  0.07
H 0.969 0.238 0.465  0.00
O 0.771 0.793 0.069  0.09
Se 0.227 0.239 0.742  0.00
O 0.229 0.207 0.931  0.09
O 0.813 0.288 0.477  0.00
O 0.170 0.512 0.248  0.01
O 0.271 0.207 0.431  0.09

Properties
DFT total energy: -5.2277 eV per atom

---

Entry 7:
DFT (GGA-PBEsol) results for a geometry-optimized CuH2SeO5 structure.

a b c (Å): 5.118 5.520 7.505
angles (deg): 102.65 107.00 99.39
Each line ends with the local moment (μB).
Sites, in units of the cell vectors:
O 0.685 0.696 0.367  0.08
Se 0.425 0.111 0.767  0.01
H 0.885 0.463 0.773  0.00
Se 0.575 0.889 0.233  0.01
O 0.702 0.193 0.363  0.01
Cu 0.000 0.000 0.000  0.64
H 0.115 0.537 0.227  0.00
O 0.138 0.389 0.282  0.08
O 0.218 0.811 0.157  0.08
O 0.327 0.181 0.963  0.08
O 0.315 0.304 0.633  0.08
H 0.030 0.664 0.676  0.00
Cu 0.500 0.500 0.500  0.67
O 0.673 0.819 0.037  0.08
O 0.298 0.807 0.637  0.01
O 0.782 0.189 0.843  0.08
O 0.862 0.611 0.718  0.08
H 0.970 0.336 0.324  0.00

Properties
DFT total energy: -5.2937 eV per atom

---

Entry 8:
DFT (GGA-PBEsol) results for a geometry-optimized CuH10SeO9 structure.

a b c (Å): 6.016 6.057 10.886
angles (deg): 76.89 82.23 73.21
Each line ends with the local moment (μB).
Sites, in units of the cell vectors:
H 0.915 0.411 0.888  0.00
O 0.110 0.602 0.621  0.00
O 0.509 0.228 0.938  0.07
H 0.146 0.426 0.626  0.00
H 0.730 0.111 0.642  0.00
H 0.434 0.296 0.295  0.00
Cu 0.500 0.500 0.000  0.69
O 0.491 0.772 0.062  0.07
O 0.119 0.170 0.889  0.00
O 0.890 0.398 0.379  0.00
H 0.270 0.889 0.358  0.00
O 0.230 0.452 0.113  0.07
H 0.255 0.725 0.499  0.00
H 0.639 0.797 0.083  0.00
O 0.643 0.193 0.566  0.07
O 0.351 0.282 0.381  0.07
H 0.361 0.203 0.917  0.00
H 0.854 0.574 0.374  0.00
O 0.841 0.851 0.362  0.00
H 0.178 0.313 0.374  0.00
H 0.745 0.275 0.501  0.00
H 0.809 0.703 0.866  0.00
O 0.170 0.016 0.203  0.00
H 0.085 0.589 0.112  0.00
O 0.830 0.984 0.797  0.00
H 0.819 0.378 0.306  0.00
Se 0.104 0.012 0.784  0.00
O 0.283 0.742 0.810  0.00
O 0.649 0.718 0.619  0.07
H 0.181 0.622 0.694  0.00
H 0.191 0.297 0.134  0.00
O 0.717 0.258 0.190  0.00
O 0.357 0.807 0.434  0.07
O 0.159 0.149 0.638  0.00
H 0.357 0.853 0.117  0.00
H 0.643 0.147 0.883  0.00
O 0.881 0.830 0.111  0.00
Cu 0.500 0.000 0.500  0.63
O 0.770 0.548 0.887  0.07
Se 0.896 0.988 0.216  0.00
H 0.566 0.704 0.705  0.00
H 0.822 0.687 0.626  0.00

Properties
DFT total energy: -5.1328 eV per atom

---

Q: The lowest DFT total energy belongs to which entry?
A: Tb2CuH4S2O12

---

What did the second record say?
DFT (GGA-PBEsol) results for a geometry-optimized Rb2CuH12S2O14 structure.

a b c (Å): 6.173 9.163 12.193
angles (deg): 90.00 90.00 104.64
Each line ends with the local moment (μB).
Sites, in units of the cell vectors:
S 0.724 0.386 0.862  0.00
O 0.594 0.756 0.571  0.00
O 0.946 0.360 0.833  0.00
O 0.406 0.744 0.071  0.00
O 0.024 0.797 0.880  0.00
O 0.712 0.000 0.936  0.07
O 0.712 0.500 0.564  0.07
H 0.988 0.823 0.804  0.00
H 0.329 0.901 0.060  0.00
S 0.276 0.614 0.138  0.00
H 0.683 0.305 0.411  0.00
H 0.689 0.464 0.642  0.00
H 0.078 0.730 0.624  0.00
H 0.916 0.199 0.602  0.00
S 0.276 0.114 0.362  0.00
Rb 0.346 0.118 0.652  0.00
O 0.754 0.025 0.571  0.00
Rb 0.654 0.882 0.348  0.00
O 0.288 0.000 0.064  0.07
H 0.916 0.699 0.898  0.00
H 0.922 0.270 0.376  0.00
H 0.317 0.195 0.911  0.00
O 0.946 0.860 0.667  0.00
O 0.246 0.975 0.429  0.00
Rb 0.346 0.618 0.848  0.00
H 0.689 0.964 0.858  0.00
Rb 0.654 0.382 0.152  0.00
H 0.311 0.036 0.142  0.00
H 0.317 0.695 0.589  0.00
O 0.595 0.897 0.739  0.00
H 0.012 0.677 0.304  0.00
H 0.671 0.599 0.560  0.00
O 0.157 0.148 0.888  0.07
O 0.595 0.397 0.761  0.00
H 0.084 0.801 0.398  0.00
H 0.988 0.323 0.696  0.00
O 0.157 0.648 0.612  0.07
O 0.054 0.140 0.333  0.00
H 0.329 0.401 0.440  0.00
O 0.976 0.203 0.120  0.00
O 0.976 0.703 0.380  0.00
O 0.288 0.500 0.436  0.07
O 0.406 0.244 0.429  0.00
H 0.683 0.805 0.089  0.00
O 0.594 0.256 0.929  0.00
O 0.843 0.352 0.388  0.07
Cu 0.000 0.000 0.000  0.68
S 0.724 0.886 0.638  0.00
O 0.054 0.640 0.167  0.00
H 0.084 0.301 0.102  0.00
Cu 0.000 0.500 0.500  0.68
O 0.843 0.852 0.112  0.07
H 0.078 0.230 0.876  0.00
H 0.012 0.177 0.196  0.00
O 0.405 0.103 0.261  0.00
O 0.754 0.525 0.929  0.00
O 0.246 0.475 0.071  0.00
H 0.922 0.770 0.124  0.00
H 0.671 0.099 0.940  0.00
O 0.024 0.297 0.620  0.00
O 0.405 0.603 0.239  0.00
H 0.311 0.536 0.358  0.00

Properties
DFT total energy: -5.4143 eV per atom